DFT (PBE-GGA) results for SiBiIrAu after structural relaxation.

Cell lengths 7.5141, 3.7002, 6.5774 Å; angles 90.00, 112.67, 90.00 degrees
Fractional coordinates of all 8 atoms:
Si 0.3295 0.0000 0.4353
Si 0.3295 0.5000 0.9353
Au 0.0647 0.5000 0.2425
Bi 0.7507 0.5000 0.7800
Ir 0.4542 0.0000 0.8187
Bi 0.7507 0.0000 0.2800
Ir 0.4542 0.5000 0.3187
Au 0.0647 0.0000 0.7425

## Properties
Symmetry   Cm
N(E_F)   0.291 states/eV per atom
DFT total energy   -21.9 eV per formula unit
Magnetic moment   0.0 Bohr magnetons per cell
ΔE to the lowest computed polymorph   0.0 meV/atom

---

DFT (PBE-GGA) results for ReOs2W after structural relaxation.

Cell lengths 9.2455, 9.2455, 9.2455 Å; angles 17.15, 17.15, 17.15 degrees
Fractional coordinates of all 4 atoms:
Re 0.2500 0.2500 0.2500
W 0.7500 0.7500 0.7500
Os 0.5014 0.5014 0.5014
Os 0.9986 0.9986 0.9986

## Properties
Symmetry   R-3m
N(E_F)   0.676 states/eV per atom
ΔH_f (0 K)   0.43 eV per formula unit
DFT total energy   -47.4 eV per formula unit
Magnetic moment   0.0 Bohr magnetons per cell
ΔE to the lowest computed polymorph   118.5 meV/atom

---

DFT (PBE-GGA) results for Pm2NdGa after structural relaxation.

Cell lengths 3.7272, 3.7272, 10.6630 Å; angles 79.93, 79.93, 60.00 degrees
Fractional coordinates of all 4 atoms:
Pm 0.0699 0.0699 0.7904
Pm 0.2635 0.2635 0.2095
Ga 0.6663 0.6663 0.0010
Nd 0.5003 0.5003 0.4992

## Properties
Symmetry   R3m
N(E_F)   1.073 states/eV per atom
ΔH_f (0 K)   -0.68 eV per formula unit
DFT total energy   -18.0 eV per formula unit
Magnetic moment   0.0 Bohr magnetons per cell
ΔE to the lowest computed polymorph   88.1 meV/atom

---

DFT (PBE-GGA) results for Y4TlTc after structural relaxation.

Cell lengths 6.1091, 6.1091, 6.1091 Å; angles 60.00, 60.00, 60.00 degrees
Fractional coordinates of all 6 atoms:
Tc 0.7500 0.7500 0.7500
Tl 0.0000 0.0000 0.0000
Y 0.3761 0.8718 0.3761
Y 0.3761 0.3761 0.8718
Y 0.8718 0.3761 0.3761
Y 0.3761 0.3761 0.3761

## Properties
Symmetry   F-43m
N(E_F)   0.835 states/eV per atom
ΔH_f (0 K)   4.22 eV per formula unit
DFT total energy   -34.4 eV per formula unit
Magnetic moment   1.7 Bohr magnetons per cell
ΔE to the lowest computed polymorph   918.5 meV/atom

---

DFT (PBE-GGA) results for Ce2Al3Ge after structural relaxation.

Cell lengths 4.1245, 4.3627, 7.5364 Å; angles 90.00, 90.00, 90.00 degrees
Fractional coordinates of all 6 atoms:
Ce 0.0000 0.0000 0.4954
Al 0.5000 0.5000 0.6656
Ge 0.5000 0.5000 0.3342
Al 0.5000 0.0000 0.8320
Ce 0.0000 0.5000 0.0056
Al 0.5000 0.0000 0.1672

## Properties
Symmetry   Pmm2
N(E_F)   2.086 states/eV per atom
ΔH_f (0 K)   -2.90 eV per formula unit
DFT total energy   -30.6 eV per formula unit
Magnetic moment   1.5 Bohr magnetons per cell

---

DFT (PBE-GGA) results for Tl2CrI2 after structural relaxation.

Cell lengths 4.2833, 4.2833, 10.0716 Å; angles 77.72, 77.72, 90.00 degrees
Fractional coordinates of all 5 atoms:
Cr 0.0000 0.0000 0.0000
Tl 0.2500 0.7500 0.5000
I 0.4061 0.4061 0.1878
Tl 0.7500 0.2500 0.5000
I 0.5939 0.5939 0.8122

## Properties
Symmetry   I4/mmm
N(E_F)   0.329 states/eV per atom
DFT total energy   -16.4 eV per formula unit
Magnetic moment   4.9 Bohr magnetons per cell
ΔE to the lowest computed polymorph   191.1 meV/atom

---

DFT (PBE-GGA) results for NpNiGe2 after structural relaxation.

Cell lengths 4.3403, 6.5280, 10.1693 Å; angles 90.00, 90.00, 90.00 degrees
Fractional coordinates of all 16 atoms:
Ge 0.7500 0.1919 0.4825
Ni 0.7500 0.3602 0.8828
Ni 0.7500 0.8602 0.6172
Ge 0.7500 0.4969 0.6570
Ge 0.7500 0.9969 0.8430
Np 0.2500 0.6868 0.8114
Ge 0.7500 0.6919 0.0175
Ni 0.2500 0.6398 0.1172
Ge 0.2500 0.0031 0.1570
Np 0.7500 0.8132 0.3114
Ni 0.2500 0.1398 0.3828
Np 0.2500 0.1868 0.6886
Ge 0.2500 0.3081 0.9825
Ge 0.2500 0.8081 0.5175
Ge 0.2500 0.5031 0.3430
Np 0.7500 0.3132 0.1886

## Properties
Symmetry   Pnma
N(E_F)   2.416 states/eV per atom
ΔH_f (0 K)   -0.95 eV per formula unit
DFT total energy   -28.9 eV per formula unit
Magnetic moment   14.2 Bohr magnetons per cell

---

DFT (PBE-GGA) results for DyCdGa2Pd5 after structural relaxation.

Cell lengths 4.1529, 4.1529, 9.3195 Å; angles 90.00, 90.00, 90.00 degrees
Fractional coordinates of all 9 atoms:
Pd 0.5000 0.0000 0.7224
Cd 0.0000 0.0000 0.0000
Dy 0.0000 0.0000 0.5000
Pd 0.0000 0.5000 0.7224
Pd 0.5000 0.5000 0.5000
Pd 0.0000 0.5000 0.2776
Ga 0.5000 0.5000 0.1313
Pd 0.5000 0.0000 0.2776
Ga 0.5000 0.5000 0.8687

## Properties
Symmetry   P4/mmm
N(E_F)   0.287 states/eV per atom
ΔH_f (0 K)   -5.52 eV per formula unit
DFT total energy   -43.1 eV per formula unit
Magnetic moment   0.0 Bohr magnetons per cell